1.
The following is a DFT calculation (PBEsol) of a relaxed Nd2CdNi2 crystal.

POSCAR file:
```
Nd2CdNi2
1.0
-1.5472 2.2006 2.6340
1.0407 -5.2912 5.0320
6.6432 2.7960 1.5661
Nd Ni Cd
4 4 2
direct
0.5000 0.8234 0.6766
0.5000 0.3234 0.8234
0.5000 0.6766 0.1766
0.5000 0.1766 0.3234
0.0000 0.3825 0.1175
0.0000 0.1175 0.6175
0.0000 0.8825 0.3825
0.0000 0.6175 0.8825
0.0000 0.5000 0.5000
0.0000 0.0000 0.0000
```

## Properties
Mass density ... 8.40 g/cm³
E ... -0.1882 Ha/atom
ΔE_f ... -0.351 eV/atom
Spin magnetization ... 0.00 μB/cell

---

2.
The following is a DFT calculation (PBEsol) of a relaxed TmMn6Ga2Sn4 crystal.

POSCAR file:
```
TmMn6Ga2Sn4
1.0
-0.8355 -5.1726 -0.4226
4.4282 1.7755 2.2071
-3.8399 -0.0099 7.7122
Sn Tm Mn Ga
4 1 6 2
direct
0.0000 0.0000 0.3315
0.6667 0.3333 0.5000
0.0000 0.0000 0.6685
0.3333 0.6667 0.5000
0.0000 0.0000 0.0000
0.0000 0.5000 0.7641
0.5000 0.5000 0.7641
0.5000 0.0000 0.2359
0.5000 0.0000 0.7641
0.0000 0.5000 0.2359
0.5000 0.5000 0.2359
0.6667 0.3333 0.0000
0.3333 0.6667 0.0000
```

## Properties
Mass density ... 8.96 g/cm³
E ... -0.2524 Ha/atom
ΔE_f ... -0.162 eV/atom
Spin magnetization ... 12.35 μB/cell

---

3.
The following is a DFT calculation (PBEsol) of a relaxed RbSrTeI2 crystal.

POSCAR file:
```
RbSrTeI2
1.0
6.3074 0.0000 0.0000
0.0000 6.3159 0.0000
0.0000 0.0000 6.3159
Rb Te Sr I
1 1 1 2
direct
0.5000 0.5000 0.5000
0.5000 0.0000 0.0000
0.0000 0.0000 0.0000
0.0000 0.0000 0.5000
0.0000 0.5000 0.0000
```

## Properties
Mass density ... 3.66 g/cm³
E ... -0.1131 Ha/atom
Relative energy among the computed polymorphs ... 0 meV/atom
Spin magnetization ... 1.03 μB/cell

---

4.
The following is a DFT calculation (PBEsol) of a relaxed NaLa2Se3 crystal.

POSCAR file:
```
NaLa2Se3
1.0
-2.7086 -3.0854 -1.1605
3.1636 1.1574 -2.6182
6.2405 -7.1292 4.3892
Se Na La
3 1 2
direct
0.3333 0.6667 0.1709
0.0000 0.0000 0.5000
0.6667 0.3333 0.8291
0.0000 0.0000 0.0000
0.6667 0.3333 0.3298
0.3333 0.6667 0.6702
```

## Properties
Mass density ... 5.42 g/cm³
E ... -0.2114 Ha/atom
Spin magnetization ... 0.00 μB/cell

---

5.
The following is a DFT calculation (PBEsol) of a relaxed Sc4CrAs crystal.

POSCAR file:
```
Sc4CrAs
1.0
-1.3556 -4.7914 -2.6309
3.8834 -4.0155 -0.7157
-0.3518 -4.8084 2.9107
Sc Cr As
4 1 1
direct
0.3745 0.3745 0.8765
0.3745 0.3745 0.3745
0.8765 0.3745 0.3745
0.3745 0.8765 0.3745
0.0000 0.0000 0.0000
0.7500 0.7500 0.7500
```

## Properties
Mass density ... 4.03 g/cm³
E ... -0.2382 Ha/atom
ΔE_f ... 0.481 eV/atom
Spin magnetization ... 4.72 μB/cell

---

6.
The following is a DFT calculation (PBEsol) of a relaxed YNiHg crystal.

POSCAR file:
```
YNiHg
1.0
-2.5162 0.7299 -2.3252
-3.0353 -1.6938 2.7529
1.0407 4.3043 0.2249
Y Hg Ni
1 1 1
direct
0.3331 0.6667 0.3333
0.8333 0.0000 0.0000
0.8336 0.3333 0.6667
```

## Properties
Mass density ... 9.69 g/cm³
E ... -0.1796 Ha/atom
ΔE_f ... -0.371 eV/atom
Spin magnetization ... 0.00 μB/cell